## Te2Pt2Pb (PBE-GGA)

Data for Te2Pt2Pb after structural relaxation.

```
5
Lattice="-1.9791 1.9791 7.8908 1.9791 -1.9791 7.8908 1.9791 1.9791 -7.8908" Properties=species:S:1:pos:R:3 pbc="T T T"
Te 0.0000 0.0000 2.0183
Te 0.0000 0.0000 13.7632
Pt 1.9791 0.0000 3.9454
Pt 0.0000 1.9791 3.9454
Pb 0.0000 0.0000 7.8908
```

* E above lowest polymorph: 0.000 eV per atom
* crystal system: tetragonal
* magnetic moment: 0.00 μB per cell
* raw formation energy: -0.095 eV per atom
* density of states at the Fermi level: 0.759 states/eV/atom
* final energy: -4.510 eV/atom
* SG: I4/mmm